Record 1
Below is a geometry-optimized K15P16Pd9O56 structure, with properties calculated at the GGA-PBE level.

Properties
E: -6.368 eV per atom
ΔE_f (raw): -1916 meV/atom
space group: C2/m, No. 12
spin magnetization: 1.250 Bohr magnetons per cell

Unit cell a=11.956 b=11.956 c=12.450 alpha=113.06 beta=113.06 gamma=72.87
Element x y z (fractional)
K1 0.000 0.000 0.000
K2 0.115 0.643 0.402
K3 0.127 0.580 0.085
K4 0.160 0.160 0.905
K5 0.252 0.252 0.501
K6 0.259 0.741 0.000
K7 0.357 0.885 0.598
K8 0.420 0.873 0.915
K9 0.580 0.127 0.085
K10 0.643 0.115 0.402
K11 0.741 0.259 0.000
K12 0.748 0.748 0.499
K13 0.840 0.840 0.095
K14 0.873 0.420 0.915
K15 0.885 0.357 0.598
P1 0.079 0.864 0.699
P2 0.108 0.317 0.195
P3 0.136 0.921 0.301
P4 0.180 0.395 0.812
P5 0.317 0.108 0.195
P6 0.373 0.577 0.696
P7 0.395 0.180 0.812
P8 0.423 0.627 0.304
P9 0.577 0.373 0.696
P10 0.605 0.820 0.188
P11 0.627 0.423 0.304
P12 0.683 0.892 0.805
P13 0.820 0.605 0.188
P14 0.864 0.079 0.699
P15 0.892 0.683 0.805
P16 0.921 0.136 0.301
Pd1 0.000 0.000 0.500
Pd2 0.087 0.589 0.661
Pd3 0.371 0.371 0.252
Pd4 0.411 0.913 0.339
Pd5 0.434 0.434 0.046
Pd6 0.566 0.566 0.954
Pd7 0.589 0.087 0.661
Pd8 0.629 0.629 0.748
Pd9 0.913 0.411 0.339
O1 0.007 0.262 0.082
O2 0.015 0.750 0.615
O3 0.028 0.028 0.253
O4 0.068 0.390 0.837
O5 0.071 0.404 0.311
O6 0.087 0.880 0.377
O7 0.120 0.913 0.623
O8 0.148 0.819 0.186
O9 0.152 0.419 0.689
O10 0.181 0.852 0.814
O11 0.183 0.382 0.166
O12 0.207 0.207 0.247
O13 0.237 0.582 0.615
O14 0.250 0.985 0.385
O15 0.254 0.254 0.787
O16 0.262 0.007 0.082
O17 0.264 0.481 0.922
O18 0.346 0.564 0.333
O19 0.382 0.183 0.166
O20 0.389 0.608 0.167
O21 0.390 0.068 0.837
O22 0.392 0.611 0.833
O23 0.404 0.071 0.311
O24 0.418 0.763 0.385
O25 0.419 0.152 0.689
O26 0.432 0.432 0.647
O27 0.436 0.654 0.667
O28 0.481 0.264 0.922
O29 0.519 0.736 0.078
O30 0.564 0.346 0.333
O31 0.568 0.568 0.353
O32 0.581 0.848 0.311
O33 0.582 0.237 0.615
O34 0.596 0.929 0.689
O35 0.608 0.389 0.167
O36 0.610 0.932 0.163
O37 0.611 0.392 0.833
O38 0.618 0.817 0.834
O39 0.654 0.436 0.667
O40 0.736 0.519 0.078
O41 0.738 0.993 0.918
O42 0.746 0.746 0.213
O43 0.750 0.015 0.615
O44 0.763 0.418 0.385
O45 0.793 0.793 0.753
O46 0.817 0.618 0.834
O47 0.819 0.148 0.186
O48 0.848 0.581 0.311
O49 0.852 0.181 0.814
O50 0.880 0.087 0.377
O51 0.913 0.120 0.623
O52 0.929 0.596 0.689
O53 0.932 0.610 0.163
O54 0.972 0.972 0.747
O55 0.985 0.250 0.385
O56 0.993 0.738 0.918

=====

Record 2
Below is a geometry-optimized KP2PdO structure, with properties calculated at the GGA-PBE level.

Properties
E: -2.629 eV per atom
ΔE_f (raw): 1785 meV/atom
distance to the lowest polymorph of the same formula: 1.4895 eV/atom
space group: P4/mmm, No. 123
spin magnetization: 0.013 Bohr magnetons per cell

Unit cell a=5.250 b=5.250 c=3.970 alpha=90.00 beta=90.00 gamma=90.00
Element x y z (fractional)
K1 0.000 0.000 0.000
P1 0.000 0.500 0.000
P2 0.500 0.000 0.000
Pd1 0.500 0.500 0.500
O1 0.000 0.000 0.500

=====

Record 3
Below is a geometry-optimized K2P2PdO6 structure, with properties calculated at the GGA-PBE level.

Properties
E: -6.081 eV per atom
ΔE_f (raw): -1721 meV/atom
space group: R-3m, No. 166
spin magnetization: 1.785 Bohr magnetons per cell

Unit cell a=6.628 b=6.628 c=6.628 alpha=51.05 beta=51.05 gamma=51.05
Element x y z (fractional)
K1 0.222 0.222 0.222
K2 0.778 0.778 0.778
P1 0.435 0.435 0.435
P2 0.565 0.565 0.565
Pd1 0.000 0.000 0.000
O1 0.263 0.263 0.717
O2 0.263 0.717 0.263
O3 0.283 0.737 0.737
O4 0.717 0.263 0.263
O5 0.737 0.283 0.737
O6 0.737 0.737 0.283

=====

Record 4
Below is a geometry-optimized K2PPdO4 structure, with properties calculated at the GGA-PBE level.

Properties
E: -5.638 eV per atom
ΔE_f (raw): -1559 meV/atom
space group: Fddd, No. 70
spin magnetization: 2.044 Bohr magnetons per cell

Unit cell a=11.229 b=10.121 c=6.288 alpha=82.83 beta=63.42 gamma=33.75
Element x y z (fractional)
K1 0.054 0.054 0.696
K2 0.304 0.304 0.946
K3 0.696 0.696 0.054
K4 0.946 0.946 0.304
P1 0.375 0.375 0.375
P2 0.625 0.625 0.625
Pd1 0.125 0.125 0.125
Pd2 0.875 0.875 0.875
O1 0.083 0.579 0.502
O2 0.336 0.502 0.579
O3 0.421 0.917 0.664
O4 0.498 0.664 0.917
O5 0.502 0.336 0.083
O6 0.579 0.083 0.336
O7 0.664 0.498 0.421
O8 0.917 0.421 0.498